Hf3Al8Rh4: relaxed, PBE.

Results
- ΔE_f: -808 meV/atom
- DFT total energy: -6.755 eV per atom
- Spin magnetization: 0.000 μB/atom

a = 8.7574 Å, b = 8.7574 Å, c = 8.7574 Å
α = 60.00°, β = 60.00°, γ = 60.00°
Closest atoms and distances in Å follow each position.
Fractional positions:
Al: 0.3358 0.9926 0.3358  3 Rh 2.53, 3 Al 2.77
Al: 0.8791 0.8791 0.3626  4 Rh 2.59-2.71, 3 Al 2.77
Al: 0.1209 0.1209 0.6374  4 Rh 2.59-2.71, 3 Al 2.77
Al: 0.1209 0.6374 0.1209  4 Rh 2.59-2.71, 3 Al 2.77
Al: 0.6642 0.0074 0.6642  3 Rh 2.53, 3 Al 2.77
Al: 0.1209 0.1209 0.1209  4 Rh 2.59-2.71, 3 Al 2.77
Al: 0.3358 0.3358 0.9926  3 Rh 2.53, 3 Al 2.77
Al: 0.6642 0.6642 0.0074  3 Rh 2.53, 3 Al 2.77
Al: 0.8791 0.8791 0.8791  4 Rh 2.59-2.71, 3 Al 2.77
Al: 0.8791 0.3626 0.8791  4 Rh 2.59-2.71, 3 Al 2.77
Al: 0.3626 0.8791 0.8791  4 Rh 2.59-2.71, 3 Al 2.77
Al: 0.6642 0.6642 0.6642  3 Rh 2.53, 3 Al 2.77
Al: 0.6374 0.1209 0.1209  4 Rh 2.59-2.71, 3 Al 2.77
Al: 0.9926 0.3358 0.3358  3 Rh 2.53, 3 Al 2.77
Al: 0.3358 0.3358 0.3358  3 Rh 2.53, 3 Al 2.77
Al: 0.0074 0.6642 0.6642  3 Rh 2.53, 3 Al 2.77
Rh: 0.0000 0.0000 0.5000  8 Al 2.53-2.71
Rh: 0.0000 0.5000 0.0000  8 Al 2.53-2.71
Rh: 0.0000 0.0000 0.0000  8 Al 2.59
Rh: 0.0000 0.5000 0.5000  8 Al 2.53-2.71
Rh: 0.5000 0.0000 0.5000  8 Al 2.53-2.71
Rh: 0.5000 0.0000 0.0000  8 Al 2.53-2.71
Rh: 0.5000 0.5000 0.0000  8 Al 2.53-2.71
Rh: 0.5000 0.5000 0.5000  6 Hf 2.58
Hf: 0.2916 0.2916 0.7084  1 Rh 2.58
Hf: 0.7084 0.2916 0.7084  1 Rh 2.58
Hf: 0.2916 0.7084 0.2916  1 Rh 2.58
Hf: 0.7084 0.2916 0.2916  1 Rh 2.58
Hf: 0.7084 0.7084 0.2916  1 Rh 2.58
Hf: 0.2916 0.7084 0.7084  1 Rh 2.58